1.
Entry from the Open Quantum Materials Database: crystalline GdYTeC at its relaxed geometry (PBE).

SG = P-3m1 (164)
VASP energy = -6.7360 eV per atom
Total magnetization = 0.00 μB per formula unit
Crystal system = trigonal

The structure in extended XYZ format:
```
8
Lattice="-1.0275 3.7058 -0.3289 0.5649 -2.1343 -3.1659 -13.6150 -3.7651 0.1091" Properties=species:S:1:pos:R:3 pbc="T T T"
C 0.0000 0.0000 0.0000
C -6.8075 -1.8826 0.0545
Gd -5.4835 -1.7135 -2.1760
Gd -8.5941 -0.4802 -1.2097
Te -3.8698 0.8263 -1.2475
Te -10.2078 -3.0199 -2.1381
Y -1.2298 -0.5371 -2.2101
Y -12.8478 -1.6565 -1.1756
```

2.
Entry from the Open Quantum Materials Database: crystalline Ho5FeTe3 at its relaxed geometry (PBE).

SG = P-62m (189)
VASP energy = -5.0141 eV per atom
Total magnetization = 0.03 μB per formula unit
Crystal system = hexagonal
Relative energy among the computed polymorphs = 0.000 eV/atom

The structure in extended XYZ format:
```
9
Lattice="8.4948 0.0000 0.0000 -4.2474 7.3567 0.0000 0.0000 0.0000 3.7151" Properties=species:S:1:pos:R:3 pbc="T T T"
Fe 0.0000 0.0000 0.0000
Ho 1.9086 0.0000 1.8576
Ho -0.9543 1.6529 1.8576
Ho 4.2474 2.4522 1.8576
Ho 0.0000 4.9045 1.8576
Ho 3.2931 5.7038 1.8576
Te 5.2063 0.0000 0.0000
Te 1.6443 2.8479 0.0000
Te -2.6031 4.5088 0.0000
```

3.
Entry from the Open Quantum Materials Database: crystalline BaAg3Sb2 at its relaxed geometry (PBE).

SG = P3m1 (156)
VASP energy = -3.4455 eV per atom
Crystal system = trigonal

The structure in extended XYZ format:
```
6
Lattice="4.7316 0.0000 0.0000 -2.3658 4.0976 0.0000 0.0000 0.0000 8.1067" Properties=species:S:1:pos:R:3 pbc="T T T"
Ag 2.3658 1.3659 4.9658
Ag 0.0000 0.0000 6.0470
Ag 0.0000 2.7318 7.2190
Ba 0.0000 0.0000 2.0225
Sb 0.0000 2.7318 4.2035
Sb 2.3658 1.3659 7.9692
```

4.
Entry from the Open Quantum Materials Database: crystalline ErTmMg6 at its relaxed geometry (PBE).

SG = Pmm2 (25)
VASP energy = -2.3380 eV per atom
Total magnetization = 0.01 μB per formula unit
Crystal system = orthorhombic
Relative energy among the computed polymorphs = 0.002 eV/atom

The structure in extended XYZ format:
```
8
Lattice="-4.8721 1.6812 -0.1283 -2.0437 -5.6077 4.1229 0.8566 2.8060 4.2411" Properties=species:S:1:pos:R:3 pbc="T T T"
Er -2.2179 1.5555 1.0163
Mg -0.3016 -0.7161 2.0702
Mg -1.3226 -3.5174 4.1298
Mg -3.2402 -1.2499 3.0754
Mg 0.6388 2.0927 3.1630
Mg -2.3005 1.5568 4.1697
Mg -3.3217 -1.2455 6.2300
Tm -0.3835 -0.7128 5.2219
```

5.
Entry from the Open Quantum Materials Database: crystalline LaFeH2N at its relaxed geometry (PBE).

SG = P4/mmm (123)
VASP energy = -6.2716 eV per atom
Total magnetization = 0.01 μB per formula unit
Crystal system = tetragonal

The structure in extended XYZ format:
```
5
Lattice="-0.8003 -2.0817 -2.9323 1.8368 -2.8192 1.5001 -3.1156 -1.1449 1.6632" Properties=species:S:1:pos:R:3 pbc="T T T"
Fe 0.0000 0.0000 0.0000
H -0.4002 -1.0409 -1.4661
H 0.9184 -1.4096 0.7501
La -1.0395 -3.0229 0.1155
N -1.5578 -0.5725 0.8316
```

6.
Entry from the Open Quantum Materials Database: crystalline Nb at its relaxed geometry (PBE).

SG = Im-3m (229)
VASP energy = -10.0940 eV per atom
Total magnetization = 0.00 μB per formula unit
Crystal system = cubic
Calculated formation energy = 0.0 eV/f.u.
Relative energy among the computed polymorphs = 0.000 eV/atom

The structure in extended XYZ format:
```
1
Lattice="-1.6597 1.6597 1.6597 1.6597 -1.6597 1.6597 1.6597 1.6597 -1.6597" Properties=species:S:1:pos:R:3 pbc="T T T"
Nb 0.0000 0.0000 0.0000
```